# 1
Below is crystalline RbGaP2O at its relaxed geometry, with properties calculated at the PBE level.

* formation energy without anion corrections: 0.226 eV per atom
* Fermi-level density of states: 4.3 states/eV/f.u.
* symmetry: P4/mmm

Cell: 5.4123 5.4123 3.6612 Å, 90.00 90.00 90.00°
With the nearest neighbours (Å) after each atom.
Fractional coordinates of all 5 atoms:
Rb  0.0000  0.0000  0.0000  8 P 3.27
Ga  0.5000  0.5000  0.5000  2 O 1.83
P  0.0000  0.5000  0.5000  2 Ga 2.71
P  0.5000  0.0000  0.5000  2 Ga 2.71
O  0.5000  0.5000  0.0000  2 Ga 1.83

=====

# 2
Below is crystalline RbGaP2O8 at its relaxed geometry, with properties calculated at the PBE level.

* formation energy without anion corrections: -1.846 eV per atom
* Fermi-level density of states: 4.8 states/eV/f.u.
* symmetry: P-3

Cell: 5.1250 5.1250 8.2373 Å, 90.00 90.00 120.00°
With the nearest neighbours (Å) after each atom.
Fractional coordinates of all 12 atoms:
Rb  0.0000  0.0000  0.0000  12 O 3.11-3.35
Ga  0.0000  0.0000  0.5000  6 O 1.97
P  0.3333  0.6667  0.6959  4 O 1.54
P  0.6667  0.3333  0.3041  4 O 1.54
O  0.0976  0.3462  0.6411  1 P 1.54
O  0.2486  0.9024  0.6411  1 P 1.54
O  0.3333  0.6667  0.8834  1 P 1.54
O  0.3462  0.2486  0.3589  1 P 1.54
O  0.6538  0.7514  0.6411  1 P 1.54
O  0.6667  0.3333  0.1166  1 P 1.54
O  0.7514  0.0976  0.3589  1 P 1.54
O  0.9024  0.6538  0.3589  1 P 1.54